Rb2TeNCl6 | the Alexandria database | PBE-GGA | optimized geometry; size of the total moment = 2.151 μB per formula unit; energy relative to the elements, uncorrected = -592 meV per atom; VASP energy = -3.0401 eV/atom; space group = I4/mmm
1.0
7.901 0.000 0.000
0.000 7.901 0.000
3.950 3.950 4.934
N Te Rb Cl
1 1 2 6
Direct
0.500 0.500 0.000
0.000 0.000 0.000
0.750 0.250 0.500
0.250 0.750 0.500
0.280 0.280 0.440
0.720 0.720 0.560
0.229 0.229 0.000
0.771 0.771 0.000
0.771 0.229 0.000
0.229 0.771 0.000